A relaxed PuTlVBr6 crystal. Source: the Alexandria database, functional PBE.

Cell lengths 7.1589, 7.1589, 14.6830 Å; angles 90.00, 90.00, 120.00 degrees
Space group P-31c (No. 163)
Symmetry-distinct sites (fractional):
Pu: 0.3333 0.6667 0.2500
Tl: 0.0000 0.0000 0.0000
V: 0.3333 0.6667 0.7500
Br: 0.0296 0.3784 0.6438

Calculated values
- Size of the total moment: 0.89 μB per atom
- Uncorrected formation energy: -1.1417 eV/atom